Compound: MgSiRu
Source: Alexandria via LeMat-Bulk
Functional: PBEsol
Structure: optimized geometry

Values from the calculation:
Its total energy is -5.9905 eV per atom. The calculation puts the size of the total moment at 0.00 Bohr magnetons per cell. As for the uncorrected formation energy: -10.8 kJ/mol of atoms.

a b c (Å): 2.9267 2.9267 6.2266
angles (deg): 90.00 90.00 120.00
Closest atoms and distances in Å follow each position.
Space group P3m1 (No. 156)
Inequivalent atoms, fractional coordinates:
Mg  0.0000  0.0000  0.0000 x1  3 Ru 2.76, 3 Si 2.91, 6 Mg 2.93
Si  0.6667  0.3333  0.3806 x1  3 Ru 2.38
Ru  0.3333  0.6667  0.6493 x1  3 Si 2.38


Compound: SrAgPb2
Source: Alexandria via LeMat-Bulk
Functional: PBEsol
Structure: optimized geometry

Values from the calculation:
The value obtained for the energy relative to the elements is -0.17 eV per atom. Its total energy is -3.4528 eV per atom. The calculation puts the size of the total moment at 0.00 Bohr magnetons per cell.

a b c (Å): 3.6725 3.9477 7.5494
angles (deg): 90.00 90.00 90.00
Closest atoms and distances in Å follow each position.
Space group Pmmm (No. 47)
Inequivalent atoms, fractional coordinates:
Sr  0.0000  0.0000  0.0000 x1  8 Pb 3.50, 2 Sr 3.67, 2 Ag 3.77
Ag  0.0000  0.0000  0.5000 x1  8 Pb 3.10
Pb  0.5000  0.5000  0.2960 x2  1 Pb 3.08, 4 Ag 3.10


Compound: LiVGeO5
Source: Alexandria via LeMat-Bulk
Functional: PBEsol
Structure: optimized geometry

Values from the calculation:
Its total energy is -7.3991 eV per atom. The calculation puts the size of the total moment at 0.00 Bohr magnetons per cell. As for the uncorrected formation energy: -197.9 kJ/mol of atoms.

a b c (Å): 4.7152 6.2971 6.5311
angles (deg): 90.00 94.93 90.00
Closest atoms and distances in Å follow each position.
Space group P2_1/m (No. 11)
Inequivalent atoms, fractional coordinates:
Li  0.0000  0.0000  0.0000 x2  4 O 2.00-2.03
V  0.3884  0.2500  0.7519 x2  2 O 1.62-1.77
Ge  0.4756  0.7500  0.7530 x2  4 O 1.74-1.77
O  0.2549  0.5248  0.7656 x4  1 Ge 1.77, 1 V 1.85
O  0.2578  0.2500  0.0451 x2  1 Ge 1.74
O  0.2735  0.7500  0.1820 x2  1 V 1.62
O  0.3644  0.2500  0.4798 x2  1 Ge 1.75, 1 V 1.77


Compound: CrFeBi2
Source: Alexandria via LeMat-Bulk
Functional: PBEsol
Structure: optimized geometry

Values from the calculation:
The value obtained for the energy relative to the elements is 0.63 eV per atom. Its total energy is -6.3182 eV per atom. The calculation puts the size of the total moment at 23.37 Bohr magnetons per cell.

a b c (Å): 6.8196 6.8196 6.8196
angles (deg): 90.00 90.00 90.00
Closest atoms and distances in Å follow each position.
Space group Fm-3m (No. 225)
Inequivalent atoms, fractional coordinates:
Cr  0.0000  0.0000  0.0000 x4  8 Bi 2.95
Fe  0.0000  0.0000  0.5000 x4  8 Bi 2.95
Bi  0.2500  0.2500  0.2500 x8  4 Cr 2.95, 4 Fe 2.95


Compound: ReW3
Source: Alexandria via LeMat-Bulk
Functional: PBEsol
Structure: optimized geometry

Values from the calculation:
The value obtained for the energy relative to the elements is 0.07 eV per atom. Its total energy is -13.6147 eV per atom. The calculation puts the size of the total moment at 0.00 Bohr magnetons per cell.

a b c (Å): 3.1316 4.4428 8.8641
angles (deg): 90.00 90.00 90.00
Closest atoms and distances in Å follow each position.
Space group Cmmm (No. 65)
Inequivalent atoms, fractional coordinates:
Re  0.0000  0.0000  0.0000 x2  4 W 2.70, 4 Re 2.72
W  0.0000  0.0000  0.5000 x2  8 W 2.72-2.73
W  0.0000  0.5000  0.2482 x4  2 Re 2.70, 6 W 2.72-2.73


Compound: ScInHg2
Source: Alexandria via LeMat-Bulk
Functional: PBEsol
Structure: optimized geometry

Values from the calculation:
The value obtained for the energy relative to the elements is -0.29 eV per atom. Its total energy is -2.9671 eV per atom. The calculation puts the size of the total moment at 0.00 Bohr magnetons per cell.

a b c (Å): 3.6653 3.6653 6.4823
angles (deg): 90.00 90.00 90.00
Closest atoms and distances in Å follow each position.
Space group P4/mmm (No. 123)
Inequivalent atoms, fractional coordinates:
Sc  0.0000  0.0000  0.0000 x1  8 Hg 3.02, 2 In 3.24
In  0.0000  0.0000  0.5000 x1  8 Hg 3.10, 2 Sc 3.24
Hg  0.5000  0.5000  0.2381 x2  4 Sc 3.02, 1 Hg 3.09, 4 In 3.10